Entry 1:
Here is SrFe2Ag after structural relaxation from Alexandria via LeMat-Bulk. Energies are from PBE-GGA.

```
data_SrFe2Ag
_cell_length_a 3.170
_cell_length_b 5.098
_cell_length_c 9.731
_cell_angle_alpha 90.00
_cell_angle_beta 90.00
_cell_angle_gamma 90.00
_symmetry_space_group_name_H-M 'I m m 2'
_symmetry_Int_Tables_number 44
loop_
_symmetry_equiv_pos_as_xyz
'x,y,z'
'-x,-y,z'
'-x,y,z'
'x,-y,z'
'x+1/2,y+1/2,z+1/2'
'-x+1/2,-y+1/2,z+1/2'
'-x+1/2,y+1/2,z+1/2'
'x+1/2,-y+1/2,z+1/2'
loop_
_atom_site_label
_atom_site_type_symbol
_atom_site_fract_x
_atom_site_fract_y
_atom_site_fract_z
_atom_site_occupancy
Sr1 Sr 0.000 0.000 0.000 1
Fe1 Fe 0.000 0.000 0.536 1
Fe2 Fe 0.000 0.500 0.211 1
Ag1 Ag 0.000 0.500 0.792 1
```

Results
Calculated volume: 157.3 Å³/cell
DFT formation energy: 541 meV per atom
Total DFT energy (no corrections): -19.3 eV/f.u.



Entry 2:
Here is B5C7 after structural relaxation from Alexandria via LeMat-Bulk. Energies are from PBE-GGA.

```
data_B5C7
_cell_length_a 13.849
_cell_length_b 2.639
_cell_length_c 4.559
_cell_angle_alpha 90.00
_cell_angle_beta 109.14
_cell_angle_gamma 90.00
_symmetry_space_group_name_H-M 'C 1 m 1'
_symmetry_Int_Tables_number 8
loop_
_symmetry_equiv_pos_as_xyz
'x,y,z'
'x,-y,z'
'x+1/2,y+1/2,z'
'x+1/2,-y+1/2,z'
loop_
_atom_site_label
_atom_site_type_symbol
_atom_site_fract_x
_atom_site_fract_y
_atom_site_fract_z
_atom_site_occupancy
B1 B 0.000 0.000 0.000 1
B2 B 0.005 0.500 0.583 1
B3 B 0.068 0.500 0.262 1
B4 B 0.201 0.000 0.555 1
B5 B 0.368 0.000 0.728 1
C1 C 0.062 0.000 0.740 1
C2 C 0.180 0.000 0.881 1
C3 C 0.185 0.500 0.365 1
C4 C 0.221 0.500 0.076 1
C5 C 0.343 0.500 0.201 1
C6 C 0.380 0.500 0.916 1
C7 C 0.381 0.000 0.395 1
```

Results
Calculated volume: 157.4 Å³/cell
DFT formation energy: 296 meV per atom
Energy above the most stable polymorph in this dataset: 38 meV per atom
Total DFT energy (no corrections): -94.4 eV/f.u.



Entry 3:
Here is Tm6Sn3C after structural relaxation from Alexandria via LeMat-Bulk. Energies are from PBE-GGA.

```
data_Tm6Sn3C
_cell_length_a 6.289
_cell_length_b 8.130
_cell_length_c 11.608
_cell_angle_alpha 90.00
_cell_angle_beta 119.60
_cell_angle_gamma 90.00
_symmetry_space_group_name_H-M 'P 1 21/c 1'
_symmetry_Int_Tables_number 14
loop_
_symmetry_equiv_pos_as_xyz
'x,y,z'
'-x,-y,-z'
'-x,y+1/2,-z+1/2'
'x,-y+1/2,z+1/2'
loop_
_atom_site_label
_atom_site_type_symbol
_atom_site_fract_x
_atom_site_fract_y
_atom_site_fract_z
_atom_site_occupancy
Tm1 Tm 0.089 0.050 0.226 1
Tm2 Tm 0.179 0.724 0.058 1
Tm3 Tm 0.379 0.147 0.050 1
Sn1 Sn 0.321 0.106 0.734 1
Sn2 Sn 0.500 0.000 0.500 1
C1 C 0.000 0.000 0.000 1
```

Results
Calculated volume: 516.0 Å³/cell
DFT formation energy: -505 meV per atom
Total DFT energy (no corrections): -53.1 eV/f.u.



Entry 4:
Here is CsNiSbTe2 after structural relaxation from Alexandria via LeMat-Bulk. Energies are from PBE-GGA.

```
data_CsNiSbTe2
_cell_length_a 5.584
_cell_length_b 5.584
_cell_length_c 4.910
_cell_angle_alpha 90.00
_cell_angle_beta 90.00
_cell_angle_gamma 90.00
_symmetry_space_group_name_H-M 'P 4/m m m'
_symmetry_Int_Tables_number 123
_symmetry_space_group_name_Hall '-P 4 2'
loop_
_atom_site_label
_atom_site_type_symbol
_atom_site_fract_x
_atom_site_fract_y
_atom_site_fract_z
_atom_site_occupancy
Cs1 Cs 0.000 0.000 0.000 1
Ni1 Ni 0.500 0.500 0.500 1
Sb1 Sb 0.500 0.500 0.000 1
Te1 Te 0.000 0.500 0.500 1
```

Results
Calculated volume: 153.1 Å³/cell
E_form (uncorrected): -0.1114 eV per atom
Total DFT energy (no corrections): -17.6 eV/f.u.



Entry 5:
Here is LaPuSb after structural relaxation from Alexandria via LeMat-Bulk. Energies are from PBE-GGA.

```
data_LaPuSb
_cell_length_a 9.903
_cell_length_b 9.903
_cell_length_c 4.237
_cell_angle_alpha 90.00
_cell_angle_beta 90.00
_cell_angle_gamma 90.00
_symmetry_space_group_name_H-M 'P 42/m'
_symmetry_Int_Tables_number 84
loop_
_symmetry_equiv_pos_as_xyz
'x,y,z'
'-x,-y,-z'
'-y,x,z+1/2'
'y,-x,-z+1/2'
'-x,-y,z'
'x,y,-z'
'y,-x,z+1/2'
'-y,x,-z+1/2'
loop_
_atom_site_label
_atom_site_type_symbol
_atom_site_fract_x
_atom_site_fract_y
_atom_site_fract_z
_atom_site_occupancy
La1 La 0.107 0.655 0.000 1
Pu1 Pu 0.367 0.616 0.500 1
Sb1 Sb 0.143 0.378 0.500 1
```

Results
Calculated volume: 415.5 Å³/cell
E_form (uncorrected): -0.4755 eV per atom
Total DFT energy (no corrections): -24.8 eV/f.u.



Entry 6:
Here is In2Ag5Cl12 after structural relaxation from Alexandria via LeMat-Bulk. Energies are from PBE-GGA.

```
data_In2Ag5Cl12
_cell_length_a 14.044
_cell_length_b 7.441
_cell_length_c 9.797
_cell_angle_alpha 90.00
_cell_angle_beta 105.85
_cell_angle_gamma 90.00
_symmetry_space_group_name_H-M 'C 1 2/m 1'
_symmetry_Int_Tables_number 12
loop_
_symmetry_equiv_pos_as_xyz
'x,y,z'
'-x,-y,-z'
'-x,y,-z'
'x,-y,z'
'x+1/2,y+1/2,z'
'-x+1/2,-y+1/2,-z'
'-x+1/2,y+1/2,-z'
'x+1/2,-y+1/2,z'
loop_
_atom_site_label
_atom_site_type_symbol
_atom_site_fract_x
_atom_site_fract_y
_atom_site_fract_z
_atom_site_occupancy
In1 In 0.000 0.249 0.000 1
Ag1 Ag 0.000 0.000 0.500 1
Ag2 Ag 0.203 0.500 0.379 1
Ag3 Ag 0.222 0.500 0.700 1
Cl1 Cl 0.043 0.500 0.842 1
Cl2 Cl 0.044 0.000 0.845 1
Cl3 Cl 0.131 0.243 0.530 1
Cl4 Cl 0.177 0.261 0.150 1
```

Results
Calculated volume: 984.8 Å³/cell
Energy above the most stable polymorph in this dataset: 0 meV per atom
E_form (uncorrected): -0.6847 eV per atom
Total DFT energy (no corrections): -54.9 eV/f.u.



Entry 7:
Here is Cu2Ni2Sn after structural relaxation from Alexandria via LeMat-Bulk. Energies are from PBE-GGA.

```
data_Cu2Ni2Sn
_cell_length_a 3.566
_cell_length_b 3.566
_cell_length_c 11.434
_cell_angle_alpha 90.00
_cell_angle_beta 90.00
_cell_angle_gamma 90.00
_symmetry_space_group_name_H-M 'I 4/m m m'
_symmetry_Int_Tables_number 139
_symmetry_space_group_name_Hall '-I 4 2'
loop_
_atom_site_label
_atom_site_type_symbol
_atom_site_fract_x
_atom_site_fract_y
_atom_site_fract_z
_atom_site_occupancy
Cu1 Cu 0.000 0.000 0.107 1
Ni1 Ni 0.000 0.500 0.250 1
Sn1 Sn 0.000 0.000 0.500 1
```

Results
Calculated volume: 145.4 Å³/cell
DFT formation energy: 234 meV per atom
Energy above the most stable polymorph in this dataset: 273 meV per atom
Total DFT energy (no corrections): -22.6 eV/f.u.



Entry 8:
Here is ScCo2Rh after structural relaxation from Alexandria via LeMat-Bulk. Energies are from PBE-GGA.

```
data_ScCo2Rh
_cell_length_a 9.257
_cell_length_b 3.075
_cell_length_c 4.337
_cell_angle_alpha 90.00
_cell_angle_beta 114.74
_cell_angle_gamma 90.00
_symmetry_space_group_name_H-M 'C 1 m 1'
_symmetry_Int_Tables_number 8
loop_
_symmetry_equiv_pos_as_xyz
'x,y,z'
'x,-y,z'
'x+1/2,y+1/2,z'
'x+1/2,-y+1/2,z'
loop_
_atom_site_label
_atom_site_type_symbol
_atom_site_fract_x
_atom_site_fract_y
_atom_site_fract_z
_atom_site_occupancy
Sc1 Sc 0.000 0.000 0.000 1
Co1 Co 0.263 0.500 0.319 1
Co2 Co 0.481 0.000 0.461 1
Rh1 Rh 0.232 0.000 0.780 1
```

Results
Calculated volume: 112.2 Å³/cell
DFT formation energy: -183 meV per atom
Total DFT energy (no corrections): -28.6 eV/f.u.



Entry 9:
Here is Pm4HoNi4 after structural relaxation from Alexandria via LeMat-Bulk. Energies are from PBE-GGA.

```
data_Pm4HoNi4
_cell_length_a 8.515
_cell_length_b 8.515
_cell_length_c 5.883
_cell_angle_alpha 90.00
_cell_angle_beta 90.00
_cell_angle_gamma 90.00
_symmetry_space_group_name_H-M 'P 42/n'
_symmetry_Int_Tables_number 86
loop_
_symmetry_equiv_pos_as_xyz
'x,y,z'
'-x,-y,-z'
'-y,x+1/2,z+1/2'
'y,-x+1/2,-z+1/2'
'-x+1/2,-y+1/2,z'
'x+1/2,y+1/2,-z'
'y+1/2,-x,z+1/2'
'-y+1/2,x,-z+1/2'
loop_
_atom_site_label
_atom_site_type_symbol
_atom_site_fract_x
_atom_site_fract_y
_atom_site_fract_z
_atom_site_occupancy
Pm1 Pm 0.057 0.666 0.149 1
Ho1 Ho 0.250 0.250 0.250 1
Ni1 Ni 0.020 0.620 0.628 1
```

Results
Calculated volume: 426.6 Å³/cell
DFT formation energy: -205 meV per atom
Total DFT energy (no corrections): -48.6 eV/f.u.



Entry 10:
Here is ScGaO3 after structural relaxation from Alexandria via LeMat-Bulk. Energies are from PBE-GGA.

```
data_ScGaO3
_cell_length_a 3.746
_cell_length_b 3.746
_cell_length_c 3.746
_cell_angle_alpha 90.00
_cell_angle_beta 90.00
_cell_angle_gamma 90.00
_symmetry_space_group_name_H-M 'P m -3 m'
_symmetry_Int_Tables_number 221
_symmetry_space_group_name_Hall '-P 4 2 3'
loop_
_atom_site_label
_atom_site_type_symbol
_atom_site_fract_x
_atom_site_fract_y
_atom_site_fract_z
_atom_site_occupancy
Sc1 Sc 0.000 0.000 0.000 1
Ga1 Ga 0.500 0.500 0.500 1
O1 O 0.000 0.500 0.500 1
```

Results
Calculated volume: 52.6 Å³/cell
E_form (uncorrected): -2.0201 eV per atom
Total DFT energy (no corrections): -34.3 eV/f.u.



Entry 11:
Here is Ca3Ga2Cl8 after structural relaxation from Alexandria via LeMat-Bulk. Energies are from PBE-GGA.

```
data_Ca3Ga2Cl8
_cell_length_a 14.854
_cell_length_b 8.221
_cell_length_c 7.053
_cell_angle_alpha 90.00
_cell_angle_beta 108.71
_cell_angle_gamma 90.00
_symmetry_space_group_name_H-M 'C 1 2/m 1'
_symmetry_Int_Tables_number 12
loop_
_symmetry_equiv_pos_as_xyz
'x,y,z'
'-x,-y,-z'
'-x,y,-z'
'x,-y,z'
'x+1/2,y+1/2,z'
'-x+1/2,-y+1/2,-z'
'-x+1/2,y+1/2,-z'
'x+1/2,-y+1/2,z'
loop_
_atom_site_label
_atom_site_type_symbol
_atom_site_fract_x
_atom_site_fract_y
_atom_site_fract_z
_atom_site_occupancy
Ca1 Ca 0.000 0.000 0.000 1
Ca2 Ca 0.000 0.257 0.500 1
Ga1 Ga 0.214 0.500 0.145 1
Cl1 Cl 0.102 0.000 0.404 1
Cl2 Cl 0.109 0.500 0.428 1
Cl3 Cl 0.110 0.232 0.897 1
```

Results
Calculated volume: 815.7 Å³/cell
E_form (uncorrected): -1.8675 eV per atom
Total DFT energy (no corrections): -51.1 eV/f.u.



Entry 12:
Here is ZnP3N after structural relaxation from Alexandria via LeMat-Bulk. Energies are from PBE-GGA.

```
data_ZnP3N
_cell_length_a 4.103
_cell_length_b 4.103
_cell_length_c 4.103
_cell_angle_alpha 90.00
_cell_angle_beta 90.00
_cell_angle_gamma 90.00
_symmetry_space_group_name_H-M 'P m -3 m'
_symmetry_Int_Tables_number 221
_symmetry_space_group_name_Hall '-P 4 2 3'
loop_
_atom_site_label
_atom_site_type_symbol
_atom_site_fract_x
_atom_site_fract_y
_atom_site_fract_z
_atom_site_occupancy
Zn1 Zn 0.000 0.000 0.000 1
P1 P 0.000 0.500 0.500 1
N1 N 0.500 0.500 0.500 1
```

Results
Calculated volume: 69.1 Å³/cell
Energy above the most stable polymorph in this dataset: 0 meV per atom
E_form (uncorrected): 0.9253 eV per atom
Total DFT energy (no corrections): -21.2 eV/f.u.